Model 1:
Computed, not measured: Er2ScAg after structural relaxation at the PBE level of DFT.

POSCAR file:
```
Er2ScAg
1.0
0.0000 3.6952 3.6952
3.6952 0.0000 3.6952
3.6952 3.6952 0.0000
Er Sc Ag
2 1 1
direct
0.2500 0.2500 0.2500
0.7500 0.7500 0.7500
0.0000 0.0000 0.0000
0.5000 0.5000 0.5000
```

Computed properties:
Crystal system   cubic
Calculated volume   100.9 Å³ per cell

***

Model 2:
Computed, not measured: Er2ScAg after structural relaxation at the PBE level of DFT.

POSCAR file:
```
Er2ScAg
1.0
1.6372 0.9453 11.3618
-1.6372 0.9453 11.3618
0.0000 -1.8905 11.3618
Er Sc Ag
2 1 1
direct
0.0935 0.0935 0.0935
0.9065 0.9065 0.9065
0.0000 0.0000 0.0000
0.5000 0.5000 0.5000
```

Computed properties:
Crystal system   trigonal
Calculated volume   105.5 Å³ per cell

***

Energies, relative to the best one, in kJ/mol of atoms: model 1 0.0; model 2 19.0.

***

Model 1:
Computed, not measured: SiPbBr after structural relaxation at the PBE level of DFT.

POSCAR file:
```
SiPbBr
1.0
5.1339 0.0000 0.0000
-2.5670 4.4461 0.0000
0.0000 0.0000 3.3581
Si Pb Br
1 1 1
direct
0.0000 0.0000 0.0000
0.6667 0.3333 0.5000
0.3333 0.6667 0.0000
```

Computed properties:
Crystal system   hexagonal
Calculated volume   76.7 Å³ per cell

***

Model 2:
Computed, not measured: SiPbBr after structural relaxation at the PBE level of DFT.

POSCAR file:
```
SiPbBr
1.0
-2.0687 2.0687 5.4721
2.0687 -2.0687 5.4721
2.0687 2.0687 -5.4721
Si Pb Br
1 1 1
direct
0.0000 0.0000 0.0000
0.5121 0.5121 0.0000
0.2250 0.2250 0.0000
```

Computed properties:
Crystal system   tetragonal
Calculated volume   93.7 Å³ per cell

***

Energies, relative to the best one, in kJ/mol of atoms: model 1 20.8; model 2 0.0.